Record 1
Tl4WBr after structural relaxation, computed with GGA-PBE.

```
data_Tl4WBr
_cell_length_a 9.0178
_cell_length_b 9.0178
_cell_length_c 9.0178
_cell_angle_alpha 90.00
_cell_angle_beta 90.00
_cell_angle_gamma 90.00
_space_group_name_H-M_alt 'F -4 3 m'
_space_group_IT_number 216
_space_group_name_Hall 'F -4 2 3'
loop_
_atom_site_label
_atom_site_fract_x
_atom_site_fract_y
_atom_site_fract_z
Tl1 0.1249 0.1249 0.1249
W1 0.2500 0.2500 0.7500
Br1 0.0000 0.0000 0.5000
```

The calculation puts the total DFT energy (no corrections) at -18.479 eV/f.u. For the size of the total moment, the calculation gives 0.7162 μB/atom. The value obtained for the raw formation energy is 935 meV/atom.


Record 2
Cd8Hg2Pd after structural relaxation, computed with GGA-PBE.

```
data_Cd8Hg2Pd
_cell_length_a 17.3697
_cell_length_b 4.2932
_cell_length_c 6.8771
_cell_angle_alpha 90.00
_cell_angle_beta 110.61
_cell_angle_gamma 90.00
_space_group_name_H-M_alt 'C 1 2/m 1'
_space_group_IT_number 12
loop_
_space_group_symop_operation_xyz
'x,y,z'
'-x,-y,-z'
'-x,y,-z'
'x,-y,z'
'x+1/2,y+1/2,z'
'-x+1/2,-y+1/2,-z'
'-x+1/2,y+1/2,-z'
'x+1/2,-y+1/2,z'
loop_
_atom_site_label
_atom_site_fract_x
_atom_site_fract_y
_atom_site_fract_z
Cd1 0.0362 0.0000 0.2352
Cd2 0.0892 0.5000 0.9492
Cd3 0.1288 0.0000 0.6816
Cd4 0.1711 0.5000 0.4125
Hg1 0.2237 0.0000 0.1455
Pd1 0.0000 0.5000 0.5000
```

The calculation puts the total DFT energy (no corrections) at -13.715 eV/f.u. For the energy relative to the elements, the calculation gives -54 meV/atom. The energy above the most stable polymorph in this dataset comes out at 22 meV/atom. For the size of the total moment, the calculation gives 0.0000 μB/atom.


Record 3
Zn2Cd7In2 after structural relaxation, computed with GGA-PBE.

```
data_Zn2Cd7In2
_cell_length_a 7.6889
_cell_length_b 8.8802
_cell_length_c 7.4429
_cell_angle_alpha 90.00
_cell_angle_beta 100.35
_cell_angle_gamma 90.00
_space_group_name_H-M_alt 'C 1 2/m 1'
_space_group_IT_number 12
loop_
_space_group_symop_operation_xyz
'x,y,z'
'-x,-y,-z'
'-x,y,-z'
'x,-y,z'
'x+1/2,y+1/2,z'
'-x+1/2,-y+1/2,-z'
'-x+1/2,y+1/2,-z'
'x+1/2,-y+1/2,z'
loop_
_atom_site_label
_atom_site_fract_x
_atom_site_fract_y
_atom_site_fract_z
Zn1 0.1086 0.0000 0.3567
Cd1 0.0000 0.5000 0.5000
Cd2 0.1483 0.5000 0.9038
Cd3 0.2089 0.1879 0.6773
In1 0.0000 0.1833 0.0000
```

The calculation puts the total DFT energy (no corrections) at -13.728 eV/f.u. For the energy relative to the elements, the calculation gives 64 meV/atom. For the size of the total moment, the calculation gives 0.0000 μB/atom.


Record 4
GeTeN2Cl after structural relaxation, computed with GGA-PBE.

```
data_GeTeN2Cl
_cell_length_a 3.8582
_cell_length_b 3.8582
_cell_length_c 6.1650
_cell_angle_alpha 90.00
_cell_angle_beta 90.00
_cell_angle_gamma 90.00
_space_group_name_H-M_alt 'P 4/m m m'
_space_group_IT_number 123
_space_group_name_Hall '-P 4 2'
loop_
_atom_site_label
_atom_site_fract_x
_atom_site_fract_y
_atom_site_fract_z
Ge1 0.0000 0.0000 0.0000
Te1 0.0000 0.0000 0.5000
N1 0.0000 0.5000 0.0000
Cl1 0.5000 0.5000 0.5000
```

The calculation puts the total DFT energy (no corrections) at -20.239 eV/f.u. The energy above the most stable polymorph in this dataset comes out at 0 meV/atom. For the size of the total moment, the calculation gives 0.3208 μB/atom. The value obtained for the raw formation energy is 1203 meV/atom.